Material: Dy2Co2Tc
Method: DFT, PBE
State: optimized geometry

abc: 5.362 5.362 7.457
angles: 79.62 79.62 61.20
Atoms (fractional coordinates):
Dy 0.472 0.228 0.153
Dy 0.772 0.528 0.347
Dy 0.528 0.772 0.847
Dy 0.228 0.472 0.653
Co 0.747 0.996 0.503
Co 0.004 0.253 0.997
Co 0.253 0.004 0.497
Co 0.996 0.747 0.003
Tc 0.119 0.881 0.250
Tc 0.881 0.119 0.750

Properties
Raw total energy, eV/f.u.: -34.62